Compound: LaHgRh2Se
Source: Alexandria via LeMat-Bulk
Functional: PBE-GGA
Structure: optimized geometry

The calculation puts the magnetic moment at 0.00 Bohr magnetons per cell. Its electronic total energy is -23.69 eV per cell. The volume comes out at 116.39 Å³/cell. The value obtained for the uncorrected formation energy is -0.054 eV per atom.

It has space group P4/mmm (No. 123), with a = 4.7045 Å, b = 4.7045 Å, c = 5.2589 Å, α = 90.00°, β = 90.00° and γ = 90.00°. The distinct sites, in fractional coordinates, are La at (0.0000, 0.0000, 0.0000), Hg at (0.5000, 0.5000, 0.0000), Rh at (0.0000, 0.5000, 0.5000) and Se at (0.5000, 0.5000, 0.5000).